BaCrAs2F | PBE with a Hubbard U | optimized geometry

Summary:
Raw total energy (eV per atom): -5.00
Space group: P4/mmm (123)
V (A^3/atom): 24.3
Density of states at the Fermi level (states/eV per atom): 0.286

Cell lengths 4.769, 4.769, 5.332 Å; angles 90.00, 90.00, 90.00 degrees
Sites, in units of the cell vectors:
Ba (0.000, 0.000, 0.000)
Cr (0.500, 0.500, 0.500)
As (0.000, 0.500, 0.500)
As (0.500, 0.000, 0.500)
F (0.500, 0.500, 0.000)